No. 1
TmFeCoSi2 after structural relaxation. Source: OQMD via LeMat-Bulk, functional PBE.

Output
Total energy, eV/atom: -6.9210

Unit cell a=5.4916 b=5.4916 c=5.4916 alpha=138.51 beta=138.51 gamma=60.12
Closest atoms and distances in Å follow each position.
Sites, in units of the cell vectors:
Tm: 0.2500 0.7500 0.5000  8 Si 3.02, 4 Fe 3.07, 4 Co 3.07
Si: 0.6201 0.1201 0.5000  2 Co 2.26, 2 Fe 2.26, 1 Si 2.47
Si: 0.8799 0.3799 0.5000  2 Co 2.26, 2 Fe 2.26, 1 Si 2.47
Co: 0.0000 0.0000 0.0000  4 Si 2.26
Fe: 0.5000 0.5000 0.0000  4 Si 2.26

No. 2
NaMgCdIn after structural relaxation. Source: OQMD via LeMat-Bulk, functional PBE.

Output
Total energy, eV/atom: -1.7085

Unit cell a=5.1188 b=5.1188 c=5.1188 alpha=60.00 beta=60.00 gamma=60.00
Closest atoms and distances in Å follow each position.
Sites, in units of the cell vectors:
Mg: 0.2500 0.2500 0.2500  4 Cd 3.13, 4 In 3.13
Cd: 0.5000 0.5000 0.5000  4 Na 3.13, 4 Mg 3.13
Na: 0.7500 0.7500 0.7500  4 Cd 3.13, 4 In 3.13
In: 0.0000 0.0000 0.0000  4 Na 3.13, 4 Mg 3.13

No. 3
Sm2YCd3AgAu2 after structural relaxation. Source: OQMD via LeMat-Bulk, functional PBE.

Output
Energy of formation from the pure elements, eV per atom: -0.58

Unit cell a=3.9278 b=7.9026 c=7.9026 alpha=119.87 beta=90.00 gamma=90.00
Closest atoms and distances in Å follow each position.
Sites, in units of the cell vectors:
Sm: 0.0000 0.4084 0.0000  4 Au 3.10-3.11, 1 Ag 3.23, 6 Cd 3.28-3.46
Sm: 0.0000 0.0000 0.4084  4 Au 3.10-3.11, 1 Ag 3.23, 6 Cd 3.28-3.46
Au: 0.5000 0.3357 0.6662  3 Cd 2.96-3.00, 2 Y 3.08, 4 Sm 3.10-3.11
Au: 0.5000 0.6662 0.3357  3 Cd 2.96-3.00, 2 Y 3.08, 4 Sm 3.10-3.11
Ag: 0.0000 0.9995 0.9995  6 Cd 2.84-2.85
Y: 0.0000 0.5914 0.5914  4 Au 3.08, 1 Ag 3.23, 6 Cd 3.27-3.44
Cd: 0.5000 0.2605 0.2605  2 Ag 2.85, 2 Au 2.96
Cd: 0.5000 0.7398 0.9984  2 Ag 2.84, 2 Au 2.96-3.00
Cd: 0.5000 0.9984 0.7398  2 Ag 2.84, 2 Au 2.96-3.00

No. 4
TmNbS2Cl2 after structural relaxation. Source: OQMD via LeMat-Bulk, functional PBE.

Output
Total energy, eV/atom: -5.9344

Unit cell a=3.6092 b=5.1143 c=7.9124 alpha=90.00 beta=90.00 gamma=90.00
Closest atoms and distances in Å follow each position.
Sites, in units of the cell vectors:
Tm: 0.5000 0.0000 0.1202  4 S 2.56-2.68, 2 Cl 2.59
S: 0.5000 0.5000 0.1111  2 Nb 2.54, 2 Tm 2.56
S: 0.0000 0.0000 0.8701  2 Nb 2.56, 2 Tm 2.68
Nb: 0.0000 0.5000 0.8849  4 S 2.54-2.56, 2 Cl 2.54
Cl: 0.5000 0.5000 0.6584  2 Nb 2.54
Cl: 0.0000 0.0000 0.3552  2 Tm 2.59

No. 5
CdC8 after structural relaxation. Source: OQMD via LeMat-Bulk, functional PBE.

Output
Total energy, eV/atom: -8.2050

Unit cell a=13.6278 b=13.1755 c=4.9241 alpha=84.64 beta=74.28 gamma=21.08
Closest atoms and distances in Å follow each position.
Sites, in units of the cell vectors:
C: 0.2083 0.5417 0.4584  3 C 1.42
C: 0.2084 0.5416 0.9582  3 C 1.42
C: 0.9582 0.2918 0.2084  3 C 1.42
C: 0.4584 0.7916 0.2083  3 C 1.42
C: 0.5417 0.2083 0.7916  3 C 1.42
C: 0.7916 0.4584 0.0417  3 C 1.42
C: 0.9582 0.2918 0.7084  3 C 1.42
C: 0.4584 0.7916 0.7083  3 C 1.42
C: 0.0417 0.7083 0.7916  3 C 1.42
C: 0.2918 0.9582 0.0416  3 C 1.42
C: 0.0416 0.7084 0.2918  3 C 1.42
C: 0.7083 0.0417 0.4584  3 C 1.42
C: 0.5416 0.2084 0.2918  3 C 1.42
C: 0.7916 0.4584 0.5417  3 C 1.42
C: 0.2918 0.9582 0.5416  3 C 1.42
C: 0.7084 0.0416 0.9582  3 C 1.42
Cd: 0.2500 0.2500 0.2500  12 C 3.53
Cd: 0.0000 0.0000 0.0000  12 C 3.53

No. 6
BaSnW after structural relaxation. Source: OQMD via LeMat-Bulk, functional PBE.

Output
Total energy, eV/atom: -5.1672

Unit cell a=5.1276 b=5.1276 c=5.1276 alpha=60.00 beta=60.00 gamma=60.00
Closest atoms and distances in Å follow each position.
Sites, in units of the cell vectors:
Sn: 0.7500 0.7500 0.7500  4 W 3.14
Ba: 0.2500 0.2500 0.2500  4 W 3.14
W: 0.0000 0.0000 0.0000  4 Sn 3.14, 4 Ba 3.14

No. 7
Si2Pb3Au2 after structural relaxation. Source: OQMD via LeMat-Bulk, functional PBE.

Output
Total energy, eV/atom: -3.7995

Unit cell a=9.4707 b=9.4707 c=9.4707 alpha=28.16 beta=28.16 gamma=28.16
Closest atoms and distances in Å follow each position.
Sites, in units of the cell vectors:
Pb: 0.6156 0.6156 0.6156  3 Si 2.88
Pb: 0.8582 0.8582 0.8582  4 Si 2.92-2.99, 3 Au 3.06
Pb: 0.3549 0.3549 0.3549  4 Si 3.08-3.17, 4 Au 3.13-3.16, 3 Pb 3.32
Au: 0.0839 0.0839 0.0839  3 Si 2.66
Au: 0.4695 0.4695 0.4695  3 Si 3.01, 3 Au 3.02, 4 Pb 3.06-3.13
Si: 0.2418 0.2418 0.2418  7 Pb 2.88-3.08
Si: 0.7512 0.7512 0.7512  3 Au 2.66, 1 Pb 2.92

No. 8
LaErH2I4 after structural relaxation. Source: OQMD via LeMat-Bulk, functional PBE.

Output
Total energy, eV/atom: -4.0209

Unit cell a=4.0982 b=4.0982 c=16.6584 alpha=90.00 beta=90.00 gamma=120.00
Closest atoms and distances in Å follow each position.
Sites, in units of the cell vectors:
Er: 0.0000 0.0000 0.0000  3 H 2.37
I: 0.6667 0.3333 0.6339  3 H 3.25, 3 La 3.25
I: 0.3333 0.6667 0.1233  3 H 3.13, 3 Er 3.13
I: 0.3333 0.6667 0.8767  3 H 3.13, 3 Er 3.13
I: 0.6667 0.3333 0.3661  3 H 3.25, 3 La 3.25
La: 0.0000 0.0000 0.5000  3 H 2.37
H: 0.6667 0.3333 0.0000  3 Er 2.37
H: 0.3333 0.6667 0.5000  3 La 2.37